DFT (PBE) results for IrPd3N after structural relaxation.

total moment: 0.00 μB per formula unit
energy relative to the elements, uncorrected: 0.620 eV per atom
SG: Pm-3m (221)
E above lowest polymorph: 0.0 kJ/mol of atoms

Cell lengths 4.1200, 4.1200, 4.1200 Å; angles 90.00, 90.00, 90.00 degrees
Fractional coordinates of all 5 atoms:
Ir  0.5000  0.5000  0.5000
Pd  0.0000  0.5000  0.0000
Pd  0.0000  0.0000  0.5000
Pd  0.5000  0.0000  0.0000
N  0.0000  0.0000  0.0000